1.
Compound: GdYTmAg
Source: Alexandria via LeMat-Bulk
Functional: GGA-PBE
Structure: optimized geometry

* crystal system: cubic
* magnetic moment: 29.67 Bohr magnetons per cell

abc: 7.5980 7.5980 7.5980
angles: 90.00 90.00 90.00
Last column: nearest neighbours and their distance in Å.
Space group F-43m (No. 216)
Unique sites:
Gd: 0.0000 0.0000 0.0000 (multiplicity 4)  4 Tm 3.29, 4 Ag 3.29
Y: 0.0000 0.0000 0.5000 (multiplicity 4)  4 Tm 3.29, 4 Ag 3.29
Tm: 0.2500 0.2500 0.2500 (multiplicity 4)  4 Gd 3.29, 4 Y 3.29
Ag: 0.2500 0.2500 0.7500 (multiplicity 4)  4 Gd 3.29, 4 Y 3.29

---

2.
Compound: PmGePbAu
Source: Alexandria via LeMat-Bulk
Functional: GGA-PBE
Structure: optimized geometry

* crystal system: cubic
* magnetic moment: 0.00 Bohr magnetons per cell

abc: 7.3439 7.3439 7.3439
angles: 90.00 90.00 90.00
Last column: nearest neighbours and their distance in Å.
Space group F-43m (No. 216)
Unique sites:
Pm: 0.0000 0.0000 0.0000 (multiplicity 4)  4 Ge 3.18, 4 Au 3.18
Ge: 0.2500 0.2500 0.7500 (multiplicity 4)  4 Pb 3.18, 4 Pm 3.18
Pb: 0.0000 0.0000 0.5000 (multiplicity 4)  4 Au 3.18, 4 Ge 3.18
Au: 0.2500 0.2500 0.2500 (multiplicity 4)  4 Pm 3.18, 4 Pb 3.18

---

3.
Compound: RbGe4Pd6
Source: Alexandria via LeMat-Bulk
Functional: GGA-PBE
Structure: optimized geometry

* crystal system: hexagonal
* magnetic moment: 0.00 Bohr magnetons per cell

abc: 7.3984 7.3984 4.0769
angles: 90.00 90.00 120.00
Last column: nearest neighbours and their distance in Å.
Space group P-6m2 (No. 187)
Unique sites:
Rb: 0.0000 0.0000 0.0000 (multiplicity 1)  6 Ge 3.27, 6 Pd 3.32
Ge: 0.3333 0.6667 0.0000 (multiplicity 1)  9 Pd 2.58-2.62
Ge: 0.3996 0.1998 0.5000 (multiplicity 3)  6 Pd 2.59-2.66
Pd: 0.2045 0.4089 0.5000 (multiplicity 3)  4 Ge 2.59-2.62, 2 Pd 2.86
Pd: 0.5347 0.0694 0.0000 (multiplicity 3)  5 Ge 2.58-2.66

---

E_form readings, ordered: 47 -367 -418 meV per atom